Record 1
# RbIr2F, relaxed, DFT PBE-GGA
data_RbIr2F
_chemical_formula_sum 'Rb2 Ir4 F2'
_space_group_name_H-M_alt 'P 1'
_space_group_IT_number 1
_space_group_name_Hall 'P 1'
_cell_length_a 4.701
_cell_length_b 4.701
_cell_length_c 9.787
_cell_angle_alpha 76.10
_cell_angle_beta 76.10
_cell_angle_gamma 90.00
loop_
_atom_site_label
_atom_site_type_symbol
_atom_site_fract_x
_atom_site_fract_y
_atom_site_fract_z
_atom_site_occupancy
Ir1 Ir 0.375 0.625 0.750 1
Ir2 Ir 0.375 0.125 0.250 1
Ir3 Ir 0.375 0.625 0.250 1
Ir4 Ir 0.875 0.625 0.750 1
Rb1 Rb 0.000 0.000 0.000 1
Rb2 Rb 0.750 0.250 0.500 1
F1 F 0.250 0.750 0.500 1
F2 F 0.500 0.500 0.000 1
# Density of states at the Fermi level   4.59 states/eV/f.u.
# Total magnetic moment   0.633 μB/f.u.
# Excess energy over the best structure of this formula in the dataset   0.00 eV/f.u.
# Uncorrected formation energy   627 meV per atom
# Calculated density   7.98 Mg/m³

Record 2
# Rb3IrF, relaxed, DFT PBE-GGA
data_Rb3IrF
_chemical_formula_sum 'Rb3 Ir1 F1'
_space_group_name_H-M_alt 'P 1'
_space_group_IT_number 1
_space_group_name_Hall 'P 1'
_cell_length_a 5.473
_cell_length_b 5.473
_cell_length_c 5.473
_cell_angle_alpha 90.00
_cell_angle_beta 90.00
_cell_angle_gamma 90.00
loop_
_atom_site_label
_atom_site_type_symbol
_atom_site_fract_x
_atom_site_fract_y
_atom_site_fract_z
_atom_site_occupancy
Rb1 Rb 0.500 0.000 0.000 1
Rb2 Rb 0.000 0.500 0.000 1
Rb3 Rb 0.000 0.000 0.500 1
Ir1 Ir 0.500 0.500 0.500 1
F1 F 0.000 0.000 0.000 1
# Density of states at the Fermi level   5.92 states/eV/f.u.
# Total magnetic moment   1.000 μB/f.u.
# Excess energy over the best structure of this formula in the dataset   0.00 eV/f.u.
# Uncorrected formation energy   -437 meV per atom
# Calculated density   4.74 Mg/m³

Record 3
# Rb2IrF6, relaxed, DFT PBE-GGA
data_Rb2IrF6
_chemical_formula_sum 'Rb2 Ir1 F6'
_space_group_name_H-M_alt 'P 1'
_space_group_IT_number 1
_space_group_name_Hall 'P 1'
_cell_length_a 6.074
_cell_length_b 6.074
_cell_length_c 4.917
_cell_angle_alpha 90.00
_cell_angle_beta 90.00
_cell_angle_gamma 120.00
loop_
_atom_site_label
_atom_site_type_symbol
_atom_site_fract_x
_atom_site_fract_y
_atom_site_fract_z
_atom_site_occupancy
F1 F 0.686 0.843 0.281 1
F2 F 0.157 0.843 0.281 1
F3 F 0.843 0.686 0.719 1
F4 F 0.843 0.157 0.719 1
F5 F 0.157 0.314 0.281 1
F6 F 0.314 0.157 0.719 1
Rb1 Rb 0.667 0.333 0.210 1
Rb2 Rb 0.333 0.667 0.790 1
Ir1 Ir 0.000 0.000 0.500 1
# Density of states at the Fermi level   10.24 states/eV/f.u.
# Total magnetic moment   1.010 μB/f.u.
# Uncorrected formation energy   -2196 meV per atom
# Calculated density   5.04 Mg/m³

Record 4
# Rb3IrF8, relaxed, DFT PBE-GGA
data_Rb3IrF8
_chemical_formula_sum 'Rb3 Ir1 F8'
_space_group_name_H-M_alt 'P 1'
_space_group_IT_number 1
_space_group_name_Hall 'P 1'
_cell_length_a 6.139
_cell_length_b 6.139
_cell_length_c 7.327
_cell_angle_alpha 114.77
_cell_angle_beta 114.77
_cell_angle_gamma 90.00
loop_
_atom_site_label
_atom_site_type_symbol
_atom_site_fract_x
_atom_site_fract_y
_atom_site_fract_z
_atom_site_occupancy
F1 F 0.908 0.908 0.200 1
F2 F 0.908 0.292 0.200 1
F3 F 0.292 0.908 0.200 1
F4 F 0.092 0.708 0.800 1
F5 F 0.708 0.708 0.800 1
F6 F 0.292 0.292 0.200 1
F7 F 0.092 0.092 0.800 1
F8 F 0.708 0.092 0.800 1
Rb1 Rb 0.250 0.750 0.500 1
Rb2 Rb 0.500 0.500 0.000 1
Rb3 Rb 0.750 0.250 0.500 1
Ir1 Ir 0.000 0.000 0.000 1
# Density of states at the Fermi level   0.00 states/eV/f.u.
# Total magnetic moment   0.080 μB/f.u.
# Excess energy over the best structure of this formula in the dataset   0.00 eV/f.u.
# Uncorrected formation energy   -2126 meV per atom
# Calculated density   4.48 Mg/m³

Record 5
# RbIrF2, relaxed, DFT PBE-GGA
data_RbIrF2
_chemical_formula_sum 'Rb1 Ir1 F2'
_space_group_name_H-M_alt 'P 1'
_space_group_IT_number 1
_space_group_name_Hall 'P 1'
_cell_length_a 6.491
_cell_length_b 6.491
_cell_length_c 6.491
_cell_angle_alpha 35.12
_cell_angle_beta 35.12
_cell_angle_gamma 35.12
loop_
_atom_site_label
_atom_site_type_symbol
_atom_site_fract_x
_atom_site_fract_y
_atom_site_fract_z
_atom_site_occupancy
Rb1 Rb 0.000 0.000 0.000 1
F1 F 0.858 0.858 0.858 1
F2 F 0.142 0.142 0.142 1
Ir1 Ir 0.500 0.500 0.500 1
# Density of states at the Fermi level   2.22 states/eV/f.u.
# Total magnetic moment   0.000 μB/f.u.
# Excess energy over the best structure of this formula in the dataset   2.34 eV/f.u.
# Uncorrected formation energy   -534 meV per atom
# Calculated density   6.49 Mg/m³

Record 6
# Rb2IrF8, relaxed, DFT PBE-GGA
data_Rb2IrF8
_chemical_formula_sum 'Rb2 Ir1 F8'
_space_group_name_H-M_alt 'P 1'
_space_group_IT_number 1
_space_group_name_Hall 'P 1'
_cell_length_a 8.424
_cell_length_b 7.203
_cell_length_c 5.173
_cell_angle_alpha 108.80
_cell_angle_beta 90.00
_cell_angle_gamma 125.78
loop_
_atom_site_label
_atom_site_type_symbol
_atom_site_fract_x
_atom_site_fract_y
_atom_site_fract_z
_atom_site_occupancy
F1 F 0.567 0.134 0.697 1
F2 F 0.730 0.781 0.762 1
F3 F 0.270 0.219 0.238 1
F4 F 0.433 0.866 0.303 1
F5 F 0.949 0.219 0.238 1
F6 F 0.903 0.805 0.218 1
F7 F 0.097 0.195 0.782 1
F8 F 0.051 0.781 0.762 1
Ir1 Ir 0.000 0.000 0.000 1
Rb1 Rb 0.329 0.657 0.700 1
Rb2 Rb 0.671 0.343 0.300 1
# Density of states at the Fermi level   7.67 states/eV/f.u.
# Total magnetic moment   3.000 μB/f.u.
# Uncorrected formation energy   -1905 meV per atom
# Calculated density   3.66 Mg/m³